Computed, not measured: BaTaGa2W at its PBEsol-relaxed geometry at the meta-GGA SCAN level of DFT.

Lattice parameters (Å, degrees): 5.0292 5.0292 4.8640 90.00 90.00 90.00
Positions (direct):
Ba 0.0000 0.0000 0.0000
Ta 0.5000 0.5000 0.0000
Ga 0.0000 0.5000 0.5000
Ga 0.5000 0.0000 0.5000
W 0.5000 0.5000 0.5000


Computed, not measured: Li2ZrF6 at its PBEsol-relaxed geometry at the meta-GGA SCAN level of DFT.

Values from the calculation:
formation energy (no corrections): -3.66 eV per atom
energy above the lowest structure with this stoichiometry: 4 meV per atom

Lattice parameters (Å, degrees): 4.9608 4.9608 4.6266 90.00 90.00 120.00
Positions (direct):
Li 0.3333 0.6667 0.0000
Li 0.6667 0.3333 0.0000
Zr 0.0000 0.0000 0.5000
F 0.0000 0.3296 0.2435
F 0.0000 0.6704 0.7565
F 0.3296 0.0000 0.2435
F 0.3296 0.3296 0.7565
F 0.6704 0.0000 0.7565
F 0.6704 0.6704 0.2435


Computed, not measured: TcHg2Cl at its PBEsol-relaxed geometry at the meta-GGA SCAN level of DFT.

Values from the calculation:
formation energy (no corrections): 0.64 eV per atom
energy above the lowest structure with this stoichiometry: 461 meV per atom

Lattice parameters (Å, degrees): 5.6927 5.6927 5.6927 139.54 139.54 58.55
Positions (direct):
Tc 0.0000 0.0000 0.0000
Hg 0.2500 0.7500 0.5000
Hg 0.7500 0.2500 0.5000
Cl 0.5000 0.5000 0.0000


Raw total energy in eV per atom, matching the order above: -41.3061 -9.9589 -44.2000